An optimized crystal structure of SiNiSbTe2, computed with PBE-GGA.

Cell: 5.198 5.198 5.164 Å, 90.00 90.00 90.00°
Element x y z (fractional)
Si: 0.000 0.000 0.000
Ni: 0.500 0.500 0.500
Sb: 0.000 0.000 0.500
Te: 0.000 0.500 0.000
Te: 0.500 0.000 0.000

Calculated values
Raw formation energy (eV per formula unit): 4.8
Calculated total energy (eV/atom): -3.36
Density of states at the Fermi level (states/eV/atom): 1.2021


An optimized crystal structure of TiSiNiSb2, computed with PBE-GGA.

Cell: 5.174 5.174 4.751 Å, 90.00 90.00 90.00°
Element x y z (fractional)
Ti: 0.000 0.000 0.000
Si: 0.000 0.000 0.500
Ni: 0.500 0.500 0.500
Sb: 0.000 0.500 0.000
Sb: 0.500 0.000 0.000

Calculated values
Raw formation energy (eV per formula unit): 3.8
Calculated total energy (eV/atom): -4.71
Density of states at the Fermi level (states/eV/atom): 0.7918


An optimized crystal structure of Ti2SiNiSb, computed with PBE-GGA.

Cell: 5.028 5.028 4.518 Å, 90.00 90.00 90.00°
Element x y z (fractional)
Ti: 0.000 0.500 0.000
Ti: 0.500 0.000 0.000
Si: 0.000 0.000 0.500
Ni: 0.500 0.500 0.500
Sb: 0.500 0.500 0.000

Calculated values
Raw formation energy (eV per formula unit): 4.5
Calculated total energy (eV/atom): -5.32
Density of states at the Fermi level (states/eV/atom): 0.8968


An optimized crystal structure of SmNiSb3, computed with PBE-GGA.

Cell: 12.624 6.189 6.089 Å, 90.00 90.00 90.00°
Element x y z (fractional)
Sm: 0.195 0.001 0.250
Sm: 0.195 0.499 0.750
Sm: 0.805 0.501 0.250
Sm: 0.805 0.999 0.750
Ni: 0.401 0.250 0.000
Ni: 0.401 0.250 0.500
Ni: 0.599 0.750 0.000
Ni: 0.599 0.750 0.500
Sb: 0.002 0.250 0.000
Sb: 0.002 0.250 0.500
Sb: 0.279 0.503 0.250
Sb: 0.279 0.997 0.750
Sb: 0.449 0.599 0.750
Sb: 0.449 0.901 0.250
Sb: 0.551 0.099 0.750
Sb: 0.551 0.401 0.250
Sb: 0.721 0.003 0.250
Sb: 0.721 0.497 0.750
Sb: 0.998 0.750 0.000
Sb: 0.998 0.750 0.500

Calculated values
Raw formation energy (eV per formula unit): -2.8
Calculated total energy (eV/atom): -5.13
Density of states at the Fermi level (states/eV/atom): 0.3940